# BaNaEuFeO6 | the Alexandria database | GGA+U | optimized geometry
data_BaNaEuFeO6
_chemical_formula_sum 'Ba4 Na4 Eu4 Fe4 O24'
_symmetry_space_group_name_H-M 'F -4 3 m'
_symmetry_Int_Tables_number 216
_symmetry_space_group_name_Hall 'F -4 2 3'
_cell_length_a 8.329
_cell_length_b 8.329
_cell_length_c 8.329
_cell_angle_alpha 90.00
_cell_angle_beta 90.00
_cell_angle_gamma 90.00
loop_
_atom_site_label
_atom_site_type_symbol
_atom_site_fract_x
_atom_site_fract_y
_atom_site_fract_z
_atom_site_occupancy
Ba1 Ba 0.000 0.000 0.000 1
Na1 Na 0.000 0.000 0.500 1
Eu1 Eu 0.250 0.250 0.250 1
Fe1 Fe 0.250 0.250 0.750 1
O1 O 0.018 0.250 0.750 1
# Energy, eV per atom: -6.590
# N(E_F), states/eV per cell: 27.01


# BaNdEuFeO6 | the Alexandria database | GGA+U | optimized geometry
data_BaNdEuFeO6
_chemical_formula_sum 'Ba4 Nd4 Eu4 Fe4 O24'
_symmetry_space_group_name_H-M 'F -4 3 m'
_symmetry_Int_Tables_number 216
_symmetry_space_group_name_Hall 'F -4 2 3'
_cell_length_a 8.390
_cell_length_b 8.390
_cell_length_c 8.390
_cell_angle_alpha 90.00
_cell_angle_beta 90.00
_cell_angle_gamma 90.00
loop_
_atom_site_label
_atom_site_type_symbol
_atom_site_fract_x
_atom_site_fract_y
_atom_site_fract_z
_atom_site_occupancy
Ba1 Ba 0.000 0.000 0.000 1
Nd1 Nd 0.250 0.250 0.250 1
Eu1 Eu 0.000 0.000 0.500 1
Fe1 Fe 0.250 0.250 0.750 1
O1 O 0.021 0.250 0.750 1
# Energy, eV per atom: -7.482
# N(E_F), states/eV per cell: 55.02


# BaSmEuFeO6 | the Alexandria database | GGA+U | optimized geometry
data_BaSmEuFeO6
_chemical_formula_sum 'Ba4 Sm4 Eu4 Fe4 O24'
_symmetry_space_group_name_H-M 'F -4 3 m'
_symmetry_Int_Tables_number 216
_symmetry_space_group_name_Hall 'F -4 2 3'
_cell_length_a 8.339
_cell_length_b 8.339
_cell_length_c 8.339
_cell_angle_alpha 90.00
_cell_angle_beta 90.00
_cell_angle_gamma 90.00
loop_
_atom_site_label
_atom_site_type_symbol
_atom_site_fract_x
_atom_site_fract_y
_atom_site_fract_z
_atom_site_occupancy
Ba1 Ba 0.000 0.000 0.000 1
Sm1 Sm 0.250 0.250 0.750 1
Eu1 Eu 0.000 0.000 0.500 1
Fe1 Fe 0.250 0.250 0.250 1
O1 O 0.019 0.250 0.250 1
# Energy, eV per atom: -7.517
# N(E_F), states/eV per cell: 53.21


- Number 2 is which compound?
  BaNdEuFeO6


- Which of these has the lowest N(E_F)?
  BaNaEuFeO6


- Which value of N(E_F) does entry 2 give?
  55.02 states/eV per cell